A relaxed CsNbSe3 crystal, computed with PBE.

Structure (POSCAR):
```
CsNbSe3
1.0
-14.256 -2.853 -4.896
-3.564 -9.053 -4.262
5.750 -5.963 6.649
Nb Se Cs
4 12 4
direct
0.251 0.952 0.890
0.751 0.610 0.548
0.249 0.390 0.452
0.749 0.048 0.110
0.325 0.818 0.757
0.675 0.182 0.243
0.487 0.885 0.172
0.513 0.115 0.828
0.013 0.672 0.385
0.175 0.257 0.318
0.987 0.328 0.615
0.793 0.188 0.016
0.293 0.484 0.312
0.825 0.743 0.682
0.707 0.516 0.688
0.207 0.812 0.984
0.750 0.146 0.646
0.250 0.414 0.914
0.750 0.586 0.086
0.250 0.854 0.354
```

Results
energy relative to the lowest polymorph listed for this composition = 123 meV/atom
mass density = 3.558 g cm⁻³
DOS(E_F) = 0.0 states/eV/cell
magnetic moment = 0.0000 μB/atom